The following is a DFT calculation (PBE) of crystalline Nd6Tl2Ru at its relaxed geometry.

```
data_Nd6Tl2Ru
_symmetry_space_group_name_H-M 'I m m m'
_symmetry_Int_Tables_number 71
_symmetry_space_group_name_Hall '-I 2 2'
_cell_length_a 5.5844
_cell_length_b 7.3269
_cell_length_c 14.7440
_cell_angle_alpha 90.00
_cell_angle_beta 90.00
_cell_angle_gamma 90.00
loop_
_atom_site_label
_atom_site_fract_x
_atom_site_fract_y
_atom_site_fract_z
_atom_site_occupancy
Nd1 0.0000 0.2231 0.0000 1
Nd2 0.0000 0.2512 0.3513 1
Tl1 0.0000 0.5000 0.1701 1
Ru1 0.0000 0.5000 0.5000 1
```

Properties
The calculation puts the raw total energy at -4.825 eV per atom. The polymorph energy (0 for the lowest one) comes out at 176 meV per atom. The value obtained for the density of states at the Fermi level is 13.1 states/eV/f.u. As for the formation energy: -90 meV per atom. As for the total moment: 0.00 μB/f.u.

The following is a DFT calculation (PBE) of crystalline Nd3TlRu at its relaxed geometry.

```
data_Nd3TlRu
_symmetry_space_group_name_H-M 'C 1 2/m 1'
_symmetry_Int_Tables_number 12
_symmetry_space_group_name_Hall '-C 2y'
_cell_length_a 12.4300
_cell_length_b 5.7230
_cell_length_c 9.0913
_cell_angle_alpha 90.00
_cell_angle_beta 111.94
_cell_angle_gamma 90.00
loop_
_atom_site_label
_atom_site_fract_x
_atom_site_fract_y
_atom_site_fract_z
_atom_site_occupancy
Nd1 0.1063 0.0000 0.2217 1
Nd2 0.1148 0.5000 0.9008 1
Nd3 0.1615 0.0000 0.6531 1
Tl1 0.1124 0.5000 0.4604 1
Ru1 0.1405 0.0000 0.9381 1
```

Properties
The calculation puts the raw total energy at -5.417 eV per atom. The polymorph energy (0 for the lowest one) comes out at 44 meV per atom. The value obtained for the density of states at the Fermi level is 3.3 states/eV/f.u. As for the formation energy: -228 meV per atom. As for the total moment: 0.00 μB/f.u.

Question: What is the formula in the second record?
Answer: Nd3TlRu